# 1
Li2MgPt at its PBEsol-relaxed geometry. Source: Alexandria, functional meta-GGA SCAN.

Results
**D(E_F)**: 0.25 states/eV per atom
**Energy relative to the elements**: -0.54 eV per atom
**Total DFT energy (no corrections)**: -20.522 eV per atom
**SG**: P2/m (10)

a b c (Å): 2.848 4.542 4.749
angles (deg): 90.00 95.15 90.00
Element x y z (fractional)
Mg1 0.500 0.500 0.000
Pt1 0.000 0.500 0.500
Li1 0.760 0.000 0.717
Li2 0.240 0.000 0.283



# 2
Li2MgPt at its PBEsol-relaxed geometry. Source: Alexandria, functional meta-GGA SCAN.

Results
**D(E_F)**: 0.33 states/eV per atom
**Energy relative to the elements**: -0.53 eV per atom
**Total DFT energy (no corrections)**: -20.518 eV per atom
**SG**: P4/mmm (123)

a b c (Å): 3.839 3.839 4.097
angles (deg): 90.00 90.00 90.00
Element x y z (fractional)
Mg1 0.500 0.500 0.500
Pt1 0.000 0.000 0.500
Li1 0.000 0.500 0.000
Li2 0.500 0.000 0.000



# 3
LiMgPt2 at its PBEsol-relaxed geometry. Source: Alexandria, functional meta-GGA SCAN.

Results
**D(E_F)**: 0.26 states/eV per atom
**Energy relative to the elements**: -0.80 eV per atom
**Total DFT energy (no corrections)**: -37.740 eV per atom
**SG**: Cmmm (65)

a b c (Å): 2.822 4.590 4.590
angles (deg): 105.13 90.00 90.00
Element x y z (fractional)
Mg1 0.500 0.000 0.000
Pt1 0.000 0.000 0.500
Pt2 0.000 0.500 0.000
Li1 0.500 0.500 0.500



# 4
LiMgPt2 at its PBEsol-relaxed geometry. Source: Alexandria, functional meta-GGA SCAN.

Results
**D(E_F)**: 0.27 states/eV per atom
**Energy relative to the elements**: -0.80 eV per atom
**Total DFT energy (no corrections)**: -37.736 eV per atom
**SG**: P4/mmm (123)

a b c (Å): 2.850 2.850 6.911
angles (deg): 90.00 90.00 90.00
Element x y z (fractional)
Mg1 0.500 0.500 0.500
Pt1 0.000 0.000 0.763
Pt2 0.000 0.000 0.237
Li1 0.500 0.500 0.000



# 5
LiMg2Pt2 at its PBEsol-relaxed geometry. Source: Alexandria, functional meta-GGA SCAN.

Results
**D(E_F)**: 0.30 states/eV per atom
**Energy relative to the elements**: -0.82 eV per atom
**Total DFT energy (no corrections)**: -31.365 eV per atom
**SG**: P4/mbm (127)

a b c (Å): 2.887 7.612 7.612
angles (deg): 90.00 90.00 90.00
Element x y z (fractional)
Mg1 0.500 0.152 0.652
Mg2 0.500 0.652 0.848
Mg3 0.500 0.848 0.348
Mg4 0.500 0.348 0.152
Pt1 0.000 0.355 0.855
Pt2 0.000 0.855 0.645
Pt3 0.000 0.645 0.145
Pt4 0.000 0.145 0.355
Li1 0.000 0.000 0.000
Li2 0.000 0.500 0.500



# 6
Li2MgPt at its PBEsol-relaxed geometry. Source: Alexandria, functional meta-GGA SCAN.

Results
**D(E_F)**: 0.31 states/eV per atom
**Energy relative to the elements**: -0.57 eV per atom
**Total DFT energy (no corrections)**: -20.560 eV per atom
**SG**: I4/mmm (139)

a b c (Å): 3.925 3.925 4.724
angles (deg): 114.55 114.55 90.00
Element x y z (fractional)
Mg1 0.500 0.500 0.000
Pt1 0.000 0.000 0.000
Li1 0.750 0.250 0.500
Li2 0.250 0.750 0.500



# 7
Li2MgPt at its PBEsol-relaxed geometry. Source: Alexandria, functional meta-GGA SCAN.

Results
**D(E_F)**: 0.29 states/eV per atom
**Energy relative to the elements**: -0.64 eV per atom
**Total DFT energy (no corrections)**: -20.630 eV per atom
**SG**: I-4m2 (119)

a b c (Å): 4.389 4.389 4.389
angles (deg): 90.19 119.89 119.89
Element x y z (fractional)
Mg1 0.000 0.500 0.500
Pt1 0.500 0.250 0.750
Li1 0.000 0.000 0.000
Li2 0.500 0.750 0.250



# 8
LiMgPt at its PBEsol-relaxed geometry. Source: Alexandria, functional meta-GGA SCAN.

Results
**D(E_F)**: 0.28 states/eV per atom
**Energy relative to the elements**: -0.75 eV per atom
**Total DFT energy (no corrections)**: -26.603 eV per atom
**Polymorph energy (0 for the lowest one)**: 0 meV/atom
**SG**: P3m1 (156)

a b c (Å): 2.813 4.257 4.257
angles (deg): 120.00 90.00 90.00
Element x y z (fractional)
Mg1 0.701 0.667 0.333
Pt1 0.281 0.333 0.667
Li1 0.018 0.000 0.000



# 9
LiMgPt at its PBEsol-relaxed geometry. Source: Alexandria, functional meta-GGA SCAN.

Results
**D(E_F)**: 0.39 states/eV per atom
**Energy relative to the elements**: -0.68 eV per atom
**Total DFT energy (no corrections)**: -26.534 eV per atom
**Polymorph energy (0 for the lowest one)**: 69 meV/atom
**SG**: I4mm (107)

a b c (Å): 3.241 3.241 4.848
angles (deg): 109.53 109.53 90.00
Element x y z (fractional)
Mg1 0.325 0.325 0.651
Pt1 0.659 0.659 0.319
Li1 0.015 0.015 0.030



# 10
Rb2LiMgTa at its PBEsol-relaxed geometry. Source: Alexandria, functional meta-GGA SCAN.

Results
**D(E_F)**: 0.90 states/eV per atom
**Energy relative to the elements**: 1.36 eV per atom
**Total DFT energy (no corrections)**: -21.728 eV per atom
**SG**: P4/mmm (123)

a b c (Å): 5.571 6.642 6.642
angles (deg): 90.00 90.00 90.00
Each line ends with the local moment (μB).
Element x y z (fractional)
Mg1 0.000 0.000 0.000  0.05
Li1 0.500 0.500 0.500  0.00
Rb1 0.000 0.000 0.500  0.03
Rb2 0.000 0.500 0.000  0.03
Ta1 0.500 0.000 0.000  2.33



# 11
LiMgRe2 at its PBEsol-relaxed geometry. Source: Alexandria, functional meta-GGA SCAN.

Results
**D(E_F)**: 0.42 states/eV per atom
**Energy relative to the elements**: 0.13 eV per atom
**Total DFT energy (no corrections)**: -37.261 eV per atom
**Polymorph energy (0 for the lowest one)**: 8 meV/atom
**SG**: Pm (6)

a b c (Å): 2.644 4.324 5.336
angles (deg): 90.00 98.34 90.00
Element x y z (fractional)
Li1 0.504 0.000 0.503
Mg1 0.280 0.500 0.732
Re1 0.966 0.000 0.035
Re2 0.749 0.500 0.230



# 12
LiMgRe2 at its PBEsol-relaxed geometry. Source: Alexandria, functional meta-GGA SCAN.

Results
**D(E_F)**: 0.72 states/eV per atom
**Energy relative to the elements**: 0.12 eV per atom
**Total DFT energy (no corrections)**: -37.269 eV per atom
**Polymorph energy (0 for the lowest one)**: 0 meV/atom
**SG**: P4mm (99)

a b c (Å): 3.077 3.077 6.540
angles (deg): 90.00 90.00 90.00
Element x y z (fractional)
Li1 0.000 0.000 0.484
Mg1 0.500 0.500 0.745
Re1 0.000 0.000 0.037
Re2 0.500 0.500 0.235



Asked for total magnetization across the records above, the calculation gives 0.00, 0.05, 0.00, 0.00, 0.00, 0.00, 0.00, 0.00, 0.00, 4.80, 0.00, 0.00 μB/f.u. in order.